# 1
# CaY2Pa (GGA-PBE, relaxed)
data_CaY2Pa
_cell_length_a 3.509
_cell_length_b 3.509
_cell_length_c 10.403
_cell_angle_alpha 90.00
_cell_angle_beta 90.00
_cell_angle_gamma 90.00
_space_group_name_H-M_alt 'P 1'
_space_group_IT_number 1
_space_group_name_Hall 'P 1'
loop_
_atom_site_label
_atom_site_fract_x
_atom_site_fract_y
_atom_site_fract_z
_atom_site_occupancy
Ca1 0.000 0.000 0.000 1
Y1 0.500 0.500 0.281 1
Y2 0.500 0.500 0.719 1
Pa1 0.000 0.000 0.500 1
# Total magnetization ... 0.00 μB/f.u.
# Energy of formation from the pure elements ... 15 kJ per mole of atoms
# ΔE to the lowest computed polymorph ... 0 meV per atom

# 2
# CaPaZn (GGA-PBE, relaxed)
data_CaPaZn
_cell_length_a 16.260
_cell_length_b 3.301
_cell_length_c 3.301
_cell_angle_alpha 59.98
_cell_angle_beta 90.00
_cell_angle_gamma 90.00
_space_group_name_H-M_alt 'P 1'
_space_group_IT_number 1
_space_group_name_Hall 'P 1'
loop_
_atom_site_label
_atom_site_fract_x
_atom_site_fract_y
_atom_site_fract_z
_atom_site_occupancy
Ca1 0.155 0.000 0.000 1
Ca2 0.845 0.000 0.000 1
Pa1 0.350 0.331 0.331 1
Pa2 0.650 0.331 0.331 1
Zn1 0.000 0.333 0.333 1
Zn2 0.500 0.998 0.998 1
# Total magnetization ... 0.00 μB/f.u.
# Energy of formation from the pure elements ... 24 kJ per mole of atoms

# 3
# CaPaZn4 (GGA-PBE, relaxed)
data_CaPaZn4
_cell_length_a 5.472
_cell_length_b 5.472
_cell_length_c 5.472
_cell_angle_alpha 60.00
_cell_angle_beta 60.00
_cell_angle_gamma 60.00
_space_group_name_H-M_alt 'P 1'
_space_group_IT_number 1
_space_group_name_Hall 'P 1'
loop_
_atom_site_label
_atom_site_fract_x
_atom_site_fract_y
_atom_site_fract_z
_atom_site_occupancy
Ca1 0.000 0.000 0.000 1
Pa1 0.250 0.250 0.250 1
Zn1 0.126 0.625 0.625 1
Zn2 0.625 0.126 0.625 1
Zn3 0.625 0.625 0.126 1
Zn4 0.625 0.625 0.625 1
# Total magnetization ... 0.07 μB/f.u.
# Energy of formation from the pure elements ... -6 kJ per mole of atoms

# 4
# Ca2PaZn (GGA-PBE, relaxed)
data_Ca2PaZn
_cell_length_a 11.764
_cell_length_b 11.764
_cell_length_c 11.764
_cell_angle_alpha 16.27
_cell_angle_beta 16.27
_cell_angle_gamma 16.27
_space_group_name_H-M_alt 'P 1'
_space_group_IT_number 1
_space_group_name_Hall 'P 1'
loop_
_atom_site_label
_atom_site_fract_x
_atom_site_fract_y
_atom_site_fract_z
_atom_site_occupancy
Ca1 0.096 0.096 0.096 1
Ca2 0.904 0.904 0.904 1
Pa1 0.000 0.000 0.000 1
Zn1 0.500 0.500 0.500 1
# Total magnetization ... 0.00 μB/f.u.
# Energy of formation from the pure elements ... 36 kJ per mole of atoms

# 5
# CaPaZn2 (GGA-PBE, relaxed)
data_CaPaZn2
_cell_length_a 3.285
_cell_length_b 3.285
_cell_length_c 8.280
_cell_angle_alpha 90.00
_cell_angle_beta 90.00
_cell_angle_gamma 90.00
_space_group_name_H-M_alt 'P 1'
_space_group_IT_number 1
_space_group_name_Hall 'P 1'
loop_
_atom_site_label
_atom_site_fract_x
_atom_site_fract_y
_atom_site_fract_z
_atom_site_occupancy
Ca1 0.000 0.000 0.000 1
Pa1 0.000 0.000 0.500 1
Zn1 0.500 0.500 0.253 1
Zn2 0.500 0.500 0.747 1
# Total magnetization ... 0.60 μB/f.u.
# Energy of formation from the pure elements ... -4 kJ per mole of atoms
# ΔE to the lowest computed polymorph ... 0 meV per atom

# 6
# CaPaZn2 (GGA-PBE, relaxed)
data_CaPaZn2
_cell_length_a 5.061
_cell_length_b 5.061
_cell_length_c 5.061
_cell_angle_alpha 60.00
_cell_angle_beta 60.00
_cell_angle_gamma 60.00
_space_group_name_H-M_alt 'P 1'
_space_group_IT_number 1
_space_group_name_Hall 'P 1'
loop_
_atom_site_label
_atom_site_fract_x
_atom_site_fract_y
_atom_site_fract_z
_atom_site_occupancy
Ca1 0.000 0.000 0.000 1
Pa1 0.500 0.500 0.500 1
Zn1 0.250 0.250 0.250 1
Zn2 0.750 0.750 0.750 1
# Total magnetization ... 0.00 μB/f.u.
# Energy of formation from the pure elements ... 7 kJ per mole of atoms
# ΔE to the lowest computed polymorph ... 120 meV per atom

# 7
# Ca5Pb3 (GGA-PBE, relaxed)
data_Ca5Pb3
_cell_length_a 9.476
_cell_length_b 9.476
_cell_length_c 6.877
_cell_angle_alpha 90.00
_cell_angle_beta 90.00
_cell_angle_gamma 120.00
_space_group_name_H-M_alt 'P 1'
_space_group_IT_number 1
_space_group_name_Hall 'P 1'
loop_
_atom_site_label
_atom_site_fract_x
_atom_site_fract_y
_atom_site_fract_z
_atom_site_occupancy
Ca1 0.000 0.267 0.250 1
Ca2 0.000 0.733 0.750 1
Ca3 0.267 0.000 0.250 1
Ca4 0.267 0.267 0.750 1
Ca5 0.333 0.667 0.000 1
Ca6 0.333 0.667 0.500 1
Ca7 0.667 0.333 0.000 1
Ca8 0.667 0.333 0.500 1
Ca9 0.733 0.000 0.750 1
Ca10 0.733 0.733 0.250 1
Pb1 0.000 0.387 0.750 1
Pb2 0.000 0.613 0.250 1
Pb3 0.387 0.000 0.750 1
Pb4 0.387 0.387 0.250 1
Pb5 0.613 0.000 0.250 1
Pb6 0.613 0.613 0.750 1
# Total magnetization ... 0.00 μB/f.u.
# Energy of formation from the pure elements ... -51 kJ per mole of atoms
# ΔE to the lowest computed polymorph ... 5 meV per atom

# 8
# Ca2Pb3 (GGA-PBE, relaxed)
data_Ca2Pb3
_cell_length_a 8.017
_cell_length_b 8.017
_cell_length_c 4.715
_cell_angle_alpha 90.00
_cell_angle_beta 90.00
_cell_angle_gamma 90.00
_space_group_name_H-M_alt 'P 1'
_space_group_IT_number 1
_space_group_name_Hall 'P 1'
loop_
_atom_site_label
_atom_site_fract_x
_atom_site_fract_y
_atom_site_fract_z
_atom_site_occupancy
Ca1 0.122 0.301 0.000 1
Ca2 0.301 0.878 0.000 1
Ca3 0.699 0.122 0.000 1
Ca4 0.878 0.699 0.000 1
Pb1 0.000 0.000 0.500 1
Pb2 0.185 0.600 0.500 1
Pb3 0.400 0.185 0.500 1
Pb4 0.500 0.500 0.000 1
Pb5 0.600 0.815 0.500 1
Pb6 0.815 0.400 0.500 1
# Total magnetization ... 0.00 μB/f.u.
# Energy of formation from the pure elements ... -40 kJ per mole of atoms